# 1
Material: CaThZnIn
Method: DFT, PBE
State: optimized geometry

Computed properties:
DFT formation energy: -223 meV/atom
total energy: -57.30 eV for the cell shown

abc: 7.5536 7.5536 7.5536
angles: 90.00 90.00 90.00
Space group F-43m (No. 216)
Unique sites:
Ca: 0.0000 0.0000 0.0000
Th: 0.0000 0.0000 0.5000
Zn: 0.2500 0.2500 0.7500
In: 0.2500 0.2500 0.2500

# 2
Material: Tm4Mg3Rh
Method: DFT, PBE
State: optimized geometry

Computed properties:
DFT formation energy: -290 meV/atom
total energy: -32.34 eV for the cell shown

abc: 3.5125 3.5125 16.0053
angles: 90.00 90.00 90.00
Space group P4/mmm (No. 123)
Unique sites:
Tm: 0.0000 0.0000 0.0991
Tm: 0.0000 0.0000 0.3699
Mg: 0.5000 0.5000 0.2384
Mg: 0.5000 0.5000 0.5000
Rh: 0.5000 0.5000 0.0000

# 3
Material: Nd2CdNi
Method: DFT, PBE
State: optimized geometry

Computed properties:
DFT formation energy: -179 meV/atom
total energy: -67.79 eV for the cell shown
energy above the most stable polymorph in this dataset: 92 meV per atom

abc: 7.3898 7.3898 7.3898
angles: 90.00 90.00 90.00
Space group Fm-3m (No. 225)
Unique sites:
Nd: 0.2500 0.2500 0.2500
Cd: 0.0000 0.0000 0.0000
Ni: 0.0000 0.0000 0.5000

# 4
Material: KErPuCl6
Method: DFT, PBE
State: optimized geometry

Computed properties:
raw formation energy: -2.057 eV/atom
total energy: -99.17 eV for the cell shown

abc: 7.1443 7.1443 13.6622
angles: 90.00 90.00 120.00
Space group P-31c (No. 163)
Unique sites:
K: 0.0000 0.0000 0.0000
Er: 0.3333 0.6667 0.2500
Pu: 0.3333 0.6667 0.7500
Cl: 0.0214 0.3751 0.1384

# 5
Material: PmY5Ho6
Method: DFT, PBE
State: optimized geometry

Computed properties:
DFT formation energy: 22 meV/atom
total energy: -128.55 eV for the cell shown

abc: 6.1571 10.6530 11.7850
angles: 90.00 99.97 90.00
Space group C2/m (No. 12)
Unique sites:
Pm: 0.0000 0.0000 0.0000
Y: 0.0000 0.1670 0.5000
Y: 0.0000 0.3333 0.0000
Y: 0.0000 0.5000 0.5000
Ho: 0.2498 0.0000 0.7493
Ho: 0.2500 0.1665 0.2508

# 6
Material: WSe2Cl
Method: DFT, PBE
State: optimized geometry

Computed properties:
raw formation energy: -0.033 eV/atom
total energy: -21.90 eV for the cell shown
energy above the most stable polymorph in this dataset: 292 meV per atom

abc: 3.0592 3.0592 9.1696
angles: 90.00 90.00 90.00
Space group P4/mmm (No. 123)
Unique sites:
W: 0.0000 0.0000 0.0000
Se: 0.5000 0.5000 0.1727
Cl: 0.0000 0.0000 0.5000

| no. | magnetic moment (μB per cell) |
| --- | --- |
| 1 | 0.0 |
| 2 | 0.0 |
| 3 | 0.0 |
| 4 | 12.0 |
| 5 | 0.0 |
| 6 | 0.4 |